# Ce8AlIn2 GGA-PBE optimized geometry
data_Ce8AlIn2
_chemical_formula_sum 'Ce8 Al1 In2'
_cell_length_a 5.890
_cell_length_b 8.690
_cell_length_c 8.510
_cell_angle_alpha 59.30
_cell_angle_beta 73.18
_cell_angle_gamma 55.48
_symmetry_space_group_name_H-M 'P 1'
_symmetry_Int_Tables_number 1
loop_
_symmetry_equiv_pos_as_xyz
'x,y,z'
loop_
_atom_site_label
_atom_site_fract_x
_atom_site_fract_y
_atom_site_fract_z
_atom_site_occupancy
Ce1 0.939 0.276 0.809 1
Ce2 0.061 0.915 0.809 1
Ce3 0.691 0.612 0.000 1
Ce4 0.500 0.214 0.573 1
In1 0.000 0.698 0.605 1
Ce5 0.061 0.724 0.191 1
Ce6 0.939 0.085 0.191 1
In2 0.000 0.302 0.395 1
Al1 0.500 0.000 0.000 1
Ce7 0.500 0.786 0.427 1
Ce8 0.309 0.388 0.000 1
# Polymorph energy (0 for the lowest one) (kJ/mol of formula units): 108.4
# Magnetization (Bohr magnetons per cell): 4.8
# Energy relative to the elements (kJ per mole of atoms): -8.3
# Raw total energy (Ry per atom): -0.385
# Symmetry: No. 12